AlTl3As after structural relaxation, computed with PBE.

Output
For the raw total energy, the calculation gives -2.630 eV/atom. As for the calculated density: 7.70 g/cm3. The symmetry is Pm-3m, No. 221. Its offset from the most stable computed form is 0 meV per atom.

Lattice parameters (Å, degrees): 5.3620 5.3620 5.3620 90.00 90.00 90.00
Atoms (fractional coordinates):
Al 0.0000 0.0000 0.0000
Tl 0.0000 0.0000 0.5000
Tl 0.0000 0.5000 0.0000
Tl 0.5000 0.0000 0.0000
As 0.5000 0.5000 0.5000